[1]
Entry from Alexandria: BaCu2P after structural relaxation (PBE).

Unit cell a=4.9913 b=4.9913 c=15.1099 alpha=90.00 beta=90.00 gamma=90.00
Closest atoms and distances in Å follow each position.
Space group I4_1/amd (No. 141, origin choice 2)
Asymmetric unit:
Ba  0.0000  0.2500  0.3750  8 Cu 3.37, 4 P 3.53
Cu  0.0000  0.0000  0.0000  2 P 2.26, 2 Cu 2.50
P  0.0000  0.2500  0.8750  4 Cu 2.26

Results
M_tot: 0.00 Bohr magnetons per cell
DFT total energy: -67.81 eV/cell
Formation enthalpy at 0 K: -0.36 eV/atom

***

[2]
Entry from Alexandria: Ba2CuP after structural relaxation (PBE).

Unit cell a=7.6964 b=7.6964 c=7.6964 alpha=90.00 beta=90.00 gamma=90.00
Closest atoms and distances in Å follow each position.
Space group F-43m (No. 216)
Asymmetric unit:
Ba  0.0000  0.0000  0.0000  4 Ba 3.33, 4 P 3.33
Ba  0.2500  0.2500  0.2500  4 Ba 3.33, 4 Cu 3.33
Cu  0.0000  0.0000  0.5000  4 Ba 3.33, 4 P 3.33
P  0.2500  0.2500  0.7500  4 Ba 3.33, 4 Cu 3.33

Results
M_tot: 0.00 Bohr magnetons per cell
DFT total energy: -52.45 eV/cell
Formation enthalpy at 0 K: 0.06 eV/atom

***

[3]
Entry from Alexandria: Ba2Cu6P3 after structural relaxation (PBE).

Unit cell a=7.8703 b=7.8703 c=4.1571 alpha=90.00 beta=90.00 gamma=120.00
Closest atoms and distances in Å follow each position.
Space group P-62m (No. 189)
Asymmetric unit:
Ba  0.3333  0.6667  0.0000  3 Cu 3.33, 6 P 3.35
Cu  0.0000  0.1914  0.0000  2 P 2.36, 6 Cu 2.60-2.61
Cu  0.0000  0.7960  0.5000  2 P 2.29
P  0.0000  0.3336  0.5000  4 Cu 2.29-2.36

Results
M_tot: 0.00 Bohr magnetons per cell
DFT total energy: -49.43 eV/cell
Formation enthalpy at 0 K: -0.43 eV/atom